(1)
## Sm3P5Se12 (PBE)

Data for a geometry-optimized Sm3P5Se12 structure.

a b c (Å): 13.871 13.871 13.871
angles (deg): 109.47 109.47 109.47
Positions (direct):
Sm 0.125 0.250 0.375
Sm 0.125 0.375 0.750
Sm 0.250 0.375 0.125
Sm 0.250 0.875 0.625
Sm 0.375 0.125 0.250
Sm 0.375 0.750 0.125
Sm 0.625 0.250 0.875
Sm 0.625 0.875 0.750
Sm 0.750 0.125 0.375
Sm 0.750 0.625 0.875
Sm 0.875 0.625 0.250
Sm 0.875 0.750 0.625
P 0.000 0.000 0.000
P 0.000 0.000 0.500
P 0.000 0.500 0.000
P 0.000 0.500 0.500
P 0.125 0.750 0.875
P 0.125 0.875 0.250
P 0.250 0.125 0.875
P 0.250 0.625 0.375
P 0.375 0.250 0.625
P 0.375 0.625 0.750
P 0.500 0.000 0.000
P 0.500 0.000 0.500
P 0.500 0.500 0.000
P 0.500 0.500 0.500
P 0.625 0.375 0.250
P 0.625 0.750 0.375
P 0.750 0.375 0.625
P 0.750 0.875 0.125
P 0.875 0.125 0.750
P 0.875 0.250 0.125
Se 0.033 0.207 0.124
Se 0.033 0.326 0.908
Se 0.082 0.707 0.674
Se 0.082 0.876 0.408
Se 0.092 0.624 0.418
Se 0.092 0.967 0.674
Se 0.124 0.033 0.207
Se 0.124 0.592 0.918
Se 0.174 0.207 0.582
Se 0.174 0.467 0.592
Se 0.207 0.124 0.033
Se 0.207 0.582 0.174
Se 0.293 0.326 0.918
Se 0.293 0.467 0.376
Se 0.326 0.908 0.033
Se 0.326 0.918 0.293
Se 0.376 0.293 0.467
Se 0.376 0.582 0.908
Se 0.408 0.082 0.876
Se 0.408 0.826 0.533
Se 0.418 0.092 0.624
Se 0.418 0.826 0.793
Se 0.467 0.376 0.293
Se 0.467 0.592 0.174
Se 0.533 0.408 0.826
Se 0.533 0.624 0.707
Se 0.582 0.174 0.207
Se 0.582 0.908 0.376
Se 0.592 0.174 0.467
Se 0.592 0.918 0.124
Se 0.624 0.418 0.092
Se 0.624 0.707 0.533
Se 0.674 0.082 0.707
Se 0.674 0.092 0.967
Se 0.707 0.533 0.624
Se 0.707 0.674 0.082
Se 0.793 0.418 0.826
Se 0.793 0.876 0.967
Se 0.826 0.533 0.408
Se 0.826 0.793 0.418
Se 0.876 0.408 0.082
Se 0.876 0.967 0.793
Se 0.908 0.033 0.326
Se 0.908 0.376 0.582
Se 0.918 0.124 0.592
Se 0.918 0.293 0.326
Se 0.967 0.674 0.092
Se 0.967 0.793 0.876

## Properties
Crystal system = cubic
Formation energy (no corrections) = -10.82 eV per formula unit

(2)
## NaTe2Ru2 (PBE)

Data for a geometry-optimized NaTe2Ru2 structure.

a b c (Å): 4.264 4.264 13.093
angles (deg): 90.00 90.00 90.00
Positions (direct):
Na 0.000 0.000 0.000
Na 0.500 0.500 0.500
Te 0.000 0.000 0.362
Te 0.000 0.000 0.638
Te 0.500 0.500 0.138
Te 0.500 0.500 0.862
Ru 0.000 0.500 0.250
Ru 0.000 0.500 0.750
Ru 0.500 0.000 0.250
Ru 0.500 0.000 0.750

## Properties
Crystal system = tetragonal
Formation energy (no corrections) = -1.04 eV per formula unit

(3)
## Cr2NiRh (PBE)

Data for a geometry-optimized Cr2NiRh structure.

a b c (Å): 3.637 3.646 7.380
angles (deg): 90.00 90.00 90.00
Positions (direct):
Cr 0.000 0.000 0.000
Cr 0.000 0.500 0.258
Cr 0.500 0.000 0.258
Cr 0.500 0.500 0.000
Ni 0.000 0.500 0.770
Ni 0.500 0.000 0.770
Rh 0.000 0.000 0.501
Rh 0.500 0.500 0.501

## Properties
Crystal system = orthorhombic
Formation energy from the elements = 62 meV per atom

(4)
## ZrReRh2 (PBE)

Data for a geometry-optimized ZrReRh2 structure.

a b c (Å): 2.874 2.874 7.849
angles (deg): 90.00 90.00 90.00
Positions (direct):
Zr 0.000 0.000 0.000
Re 0.500 0.500 0.285
Rh 0.000 0.000 0.500
Rh 0.500 0.500 0.750

## Properties
Crystal system = tetragonal
Formation energy from the elements = -138 meV per atom

(5)
## ScInGaTc (PBE)

Data for a geometry-optimized ScInGaTc structure.

a b c (Å): 6.560 6.560 6.560
angles (deg): 90.00 90.00 90.00
Positions (direct):
Sc 0.000 0.000 0.000
Sc 0.000 0.500 0.500
Sc 0.500 0.000 0.500
Sc 0.500 0.500 0.000
In 0.250 0.250 0.750
In 0.250 0.750 0.250
In 0.750 0.250 0.250
In 0.750 0.750 0.750
Ga 0.250 0.250 0.250
Ga 0.250 0.750 0.750
Ga 0.750 0.250 0.750
Ga 0.750 0.750 0.250
Tc 0.000 0.000 0.500
Tc 0.000 0.500 0.000
Tc 0.500 0.000 0.000
Tc 0.500 0.500 0.500

## Properties
Crystal system = cubic
Formation energy from the elements = -155 meV per atom

(6)
## Sb2Au (PBE)

Data for a geometry-optimized Sb2Au structure.

a b c (Å): 12.483 4.103 7.469
angles (deg): 90.00 125.14 90.00
Positions (direct):
Sb 0.073 0.000 0.265
Sb 0.236 0.000 0.752
Sb 0.264 0.500 0.248
Sb 0.427 0.500 0.735
Sb 0.573 0.500 0.265
Sb 0.736 0.500 0.752
Sb 0.764 0.000 0.248
Sb 0.927 0.000 0.735
Au 0.082 0.500 0.748
Au 0.418 0.000 0.252
Au 0.582 0.000 0.748
Au 0.918 0.500 0.252

## Properties
Crystal system = monoclinic
Formation energy (no corrections) = -0.10 eV per formula unit

(7)
## InRe2Ni (PBE)

Data for a geometry-optimized InRe2Ni structure.

a b c (Å): 3.730 3.730 19.395
angles (deg): 90.00 90.00 90.00
Positions (direct):
In 0.000 0.000 0.000
In 0.000 0.500 0.250
In 0.500 0.000 0.750
In 0.500 0.500 0.500
Re 0.211 0.250 0.625
Re 0.250 0.711 0.875
Re 0.250 0.789 0.375
Re 0.289 0.250 0.125
Re 0.711 0.750 0.125
Re 0.750 0.211 0.375
Re 0.750 0.289 0.875
Re 0.789 0.750 0.625
Ni 0.000 0.000 0.500
Ni 0.000 0.500 0.750
Ni 0.500 0.000 0.250
Ni 0.500 0.500 0.000

## Properties
Crystal system = tetragonal
Formation energy from the elements = 699 meV per atom

(8)
## BaTeH2C (PBE)

Data for a geometry-optimized BaTeH2C structure.

a b c (Å): 4.110 4.110 7.236
angles (deg): 90.00 90.00 90.00
Positions (direct):
Ba 0.000 0.000 0.000
Te 0.000 0.000 0.500
H 0.000 0.500 0.500
H 0.500 0.000 0.500
C 0.500 0.500 0.000

## Properties
Crystal system = tetragonal
Calculated total energy = -16.98 eV per cell

(9)
## CaScSi2 (PBE)

Data for a geometry-optimized CaScSi2 structure.

a b c (Å): 8.894 3.801 5.837
angles (deg): 90.00 112.91 90.00
Positions (direct):
Ca 0.000 0.000 0.000
Ca 0.500 0.500 0.000
Sc 0.000 0.500 0.500
Sc 0.500 0.000 0.500
Si 0.244 0.000 0.642
Si 0.256 0.500 0.358
Si 0.744 0.500 0.642
Si 0.756 0.000 0.358

## Properties
Crystal system = monoclinic
Formation energy (no corrections) = -1.58 eV per formula unit

(10)
## Hf3BiI (PBE)

Data for a geometry-optimized Hf3BiI structure.

a b c (Å): 5.235 5.235 5.235
angles (deg): 90.00 90.00 90.00
Positions (direct):
Hf 0.000 0.000 0.500
Hf 0.000 0.500 0.000
Hf 0.500 0.000 0.000
Bi 0.500 0.500 0.500
I 0.000 0.000 0.000

## Properties
Crystal system = cubic
Formation energy (no corrections) = 5.69 eV per formula unit

(11)
## V3ZnSe (PBE)

Data for a geometry-optimized V3ZnSe structure.

a b c (Å): 4.509 4.509 4.509
angles (deg): 90.00 90.00 90.00
Positions (direct):
V 0.000 0.000 0.500
V 0.000 0.500 0.000
V 0.500 0.000 0.000
Zn 0.500 0.500 0.500
Se 0.000 0.000 0.000

## Properties
Crystal system = cubic
Formation energy (no corrections) = 3.15 eV per formula unit

(12)
## TbHo2Cd4 (PBE)

Data for a geometry-optimized TbHo2Cd4 structure.

a b c (Å): 5.318 5.318 13.776
angles (deg): 90.00 90.00 90.00
Positions (direct):
Tb 0.000 0.000 0.000
Tb 0.500 0.500 0.500
Ho 0.000 0.000 0.259
Ho 0.000 0.000 0.741
Ho 0.500 0.500 0.241
Ho 0.500 0.500 0.759
Cd 0.000 0.500 0.116
Cd 0.000 0.500 0.384
Cd 0.000 0.500 0.616
Cd 0.000 0.500 0.884
Cd 0.500 0.000 0.116
Cd 0.500 0.000 0.384
Cd 0.500 0.000 0.616
Cd 0.500 0.000 0.884

## Properties
Crystal system = tetragonal
Formation energy from the elements = -153 meV per atom

(13)
## NbCuAsBr2 (PBE)

Data for a geometry-optimized NbCuAsBr2 structure.

a b c (Å): 5.132 5.132 5.120
angles (deg): 90.00 90.00 90.00
Positions (direct):
Nb 0.000 0.000 0.000
Cu 0.500 0.500 0.500
As 0.000 0.000 0.500
Br 0.000 0.500 0.000
Br 0.500 0.000 0.000

## Properties
Crystal system = tetragonal
Formation energy (no corrections) = 1.74 eV per formula unit

(14)
## GdNi4Pd (PBE)

Data for a geometry-optimized GdNi4Pd structure.

a b c (Å): 4.924 4.924 4.924
angles (deg): 60.00 60.00 60.00
Positions (direct):
Gd 0.000 0.000 0.000
Ni 0.376 0.376 0.376
Ni 0.376 0.376 0.873
Ni 0.376 0.873 0.376
Ni 0.873 0.376 0.376
Pd 0.750 0.750 0.750

## Properties
Crystal system = cubic
Formation energy from the elements = -323 meV per atom

(15)
## Ba2CdIn2As4 (PBE)

Data for a geometry-optimized Ba2CdIn2As4 structure.

a b c (Å): 8.780 8.780 7.579
angles (deg): 107.75 107.75 28.29
Positions (direct):
Ba 0.122 0.122 0.038
Ba 0.878 0.878 0.962
Cd 0.000 0.000 0.500
In 0.334 0.334 0.499
In 0.666 0.666 0.501
As 0.224 0.224 0.722
As 0.484 0.484 0.744
As 0.516 0.516 0.256
As 0.776 0.776 0.278

## Properties
Crystal system = monoclinic
Formation energy from the elements = -573 meV per atom

(16)
## TmMg2Pb3 (PBE)

Data for a geometry-optimized TmMg2Pb3 structure.

a b c (Å): 5.635 6.931 8.240
angles (deg): 90.00 97.44 90.00
Positions (direct):
Tm 0.170 0.000 0.327
Tm 0.830 0.000 0.673
Mg 0.163 0.500 0.327
Mg 0.500 0.000 0.000
Mg 0.500 0.500 0.000
Mg 0.837 0.500 0.673
Pb 0.000 0.257 0.000
Pb 0.000 0.743 0.000
Pb 0.335 0.255 0.665
Pb 0.335 0.745 0.665
Pb 0.665 0.255 0.335
Pb 0.665 0.745 0.335

## Properties
Crystal system = monoclinic
Formation energy from the elements = -160 meV per atom

(17)
## Ga3N2O (PBE)

Data for a geometry-optimized Ga3N2O structure.

a b c (Å): 3.289 9.790 4.652
angles (deg): 90.00 90.00 90.00
Positions (direct):
Ga 0.000 0.000 0.000
Ga 0.000 0.328 0.982
Ga 0.000 0.672 0.982
Ga 0.500 0.172 0.482
Ga 0.500 0.500 0.500
Ga 0.500 0.828 0.482
N 0.000 0.168 0.243
N 0.000 0.832 0.243
N 0.500 0.332 0.743
N 0.500 0.668 0.743
O 0.000 0.500 0.230
O 0.500 0.000 0.730

## Properties
Crystal system = orthorhombic
Formation energy (no corrections) = -3.64 eV per formula unit

(18)
## Mg3Tl5Pb (PBE)

Data for a geometry-optimized Mg3Tl5Pb structure.

a b c (Å): 7.712 7.712 9.977
angles (deg): 102.75 102.75 91.29
Positions (direct):
Mg 0.000 0.000 0.000
Mg 0.001 0.001 0.667
Mg 0.498 0.498 0.162
Mg 0.500 0.500 0.500
Mg 0.502 0.502 0.838
Mg 0.999 0.999 0.333
Tl 0.184 0.707 0.816
Tl 0.237 0.763 0.500
Tl 0.248 0.248 0.914
Tl 0.254 0.254 0.584
Tl 0.293 0.816 0.184
Tl 0.707 0.184 0.816
Tl 0.746 0.746 0.416
Tl 0.752 0.752 0.086
Tl 0.763 0.237 0.500
Tl 0.816 0.293 0.184
Pb 0.255 0.255 0.250
Pb 0.745 0.745 0.750

## Properties
Crystal system = monoclinic
Formation energy from the elements = 100 meV per atom

(19)
## Ag2Sn2Te5 (PBE)

Data for a geometry-optimized Ag2Sn2Te5 structure.

a b c (Å): 18.017 18.017 18.017
angles (deg): 14.19 14.19 14.19
Positions (direct):
Ag 0.000 0.000 0.000
Ag 0.167 0.167 0.167
Sn 0.583 0.583 0.583
Sn 0.763 0.763 0.763
Te 0.068 0.068 0.068
Te 0.218 0.218 0.218
Te 0.686 0.686 0.686
Te 0.816 0.816 0.816
Te 0.948 0.948 0.948

## Properties
Crystal system = trigonal
Formation energy (no corrections) = -0.28 eV per formula unit

(20)
## LiNiI (PBE)

Data for a geometry-optimized LiNiI structure.

a b c (Å): 7.547 4.388 7.689
angles (deg): 90.00 109.03 90.00
Positions (direct):
Li 0.000 0.000 0.000
Li 0.020 0.500 0.566
Li 0.500 0.500 0.000
Li 0.520 0.000 0.566
Ni 0.113 0.000 0.349
Ni 0.409 0.000 0.237
Ni 0.613 0.500 0.349
Ni 0.909 0.500 0.237
I 0.247 0.000 0.747
I 0.247 0.500 0.245
I 0.747 0.000 0.245
I 0.747 0.500 0.747

## Properties
Crystal system = monoclinic
Formation energy (no corrections) = -0.70 eV per formula unit

(21)
## TmThTlCd (PBE)

Data for a geometry-optimized TmThTlCd structure.

a b c (Å): 7.611 7.611 7.611
angles (deg): 90.00 90.00 90.00
Positions (direct):
Tm 0.000 0.000 0.000
Tm 0.000 0.500 0.500
Tm 0.500 0.000 0.500
Tm 0.500 0.500 0.000
Th 0.000 0.000 0.500
Th 0.000 0.500 0.000
Th 0.500 0.000 0.000
Th 0.500 0.500 0.500
Tl 0.250 0.250 0.750
Tl 0.250 0.750 0.250
Tl 0.750 0.250 0.250
Tl 0.750 0.750 0.750
Cd 0.250 0.250 0.250
Cd 0.250 0.750 0.750
Cd 0.750 0.250 0.750
Cd 0.750 0.750 0.250

## Properties
Crystal system = cubic
Formation energy from the elements = -178 meV per atom

(22)
## Tb3MgPb2 (PBE)

Data for a geometry-optimized Tb3MgPb2 structure.

a b c (Å): 9.571 9.571 9.571
angles (deg): 140.59 56.61 141.05
Positions (direct):
Tb 0.174 0.737 0.911
Tb 0.250 0.250 0.000
Tb 0.326 0.237 0.564
Tb 0.674 0.763 0.436
Tb 0.750 0.750 0.000
Tb 0.826 0.263 0.089
Mg 0.250 0.750 0.500
Mg 0.750 0.250 0.500
Pb 0.138 0.243 0.382
Pb 0.362 0.743 0.105
Pb 0.638 0.257 0.895
Pb 0.862 0.757 0.618

## Properties
Crystal system = orthorhombic
Formation energy from the elements = -344 meV per atom